Computed, not measured: Be2Al2Sb after structural relaxation at the GGA-PBE level of DFT.

Summary:
Energy above the lowest structure with this stoichiometry = 0.36 eV per formula unit
DOS at the Fermi energy = 0.325 states/eV/atom
Calculated volume = 16.60 Å³/atom
E_form (uncorrected) = 438 meV/atom
Spin magnetization = 0.000 μB/cell

abc: 3.7717 3.7717 6.4141
angles: 72.90 72.90 90.00
Fractional positions:
Sb (0.0000, 0.0000, 0.0000)
Al (0.3837, 0.3837, 0.2327)
Al (0.6163, 0.6163, 0.7673)
Be (0.7500, 0.2500, 0.5000)
Be (0.2500, 0.7500, 0.5000)